The following is a PBEsol calculation of crystalline Mg2V3O8 at its relaxed geometry, from the Alexandria database.

a b c (Å): 5.693 5.693 9.530
angles (deg): 90.00 90.00 120.00
Element x y z (fractional)
Mg  0.333  0.667  0.000
Mg  0.333  0.667  0.419
Mg  0.667  0.333  0.500
Mg  0.667  0.333  0.919
V  0.155  0.311  0.688
V  0.155  0.845  0.688
V  0.311  0.155  0.188
V  0.689  0.845  0.688
V  0.845  0.155  0.188
V  0.845  0.689  0.188
O  0.000  0.000  0.067
O  0.000  0.000  0.567
O  0.033  0.516  0.574
O  0.163  0.325  0.294
O  0.163  0.837  0.294
O  0.325  0.163  0.794
O  0.333  0.667  0.794
O  0.484  0.516  0.574
O  0.484  0.967  0.574
O  0.516  0.033  0.074
O  0.516  0.484  0.074
O  0.667  0.333  0.294
O  0.675  0.837  0.294
O  0.837  0.163  0.794
O  0.837  0.675  0.794
O  0.967  0.484  0.074

* N(E_F): 0.0 states/eV/cell
* raw formation energy: -3127 kJ/mol of formula units
* DFT total energy: -8.211 eV/atom
* magnetization: 6.0 μB/cell
* energy above the lowest structure with this stoichiometry: 5 meV/atom

The following is a PBEsol calculation of crystalline Mg2VWO6 at its relaxed geometry, from the Alexandria database.

a b c (Å): 5.458 5.458 5.458
angles (deg): 55.91 55.91 55.91
Element x y z (fractional)
Mg  0.000  0.000  0.000
Mg  0.500  0.500  0.500
V  0.793  0.793  0.793
W  0.294  0.294  0.294
O  0.072  0.411  0.673
O  0.179  0.920  0.564
O  0.411  0.673  0.072
O  0.564  0.179  0.920
O  0.673  0.072  0.411
O  0.920  0.564  0.179

* N(E_F): 3.0 states/eV/cell
* raw formation energy: -2272 kJ/mol of formula units
* DFT total energy: -8.192 eV/atom
* magnetization: 3.0 μB/cell
* energy above the lowest structure with this stoichiometry: 0 meV/atom

The following is a PBEsol calculation of crystalline Mg2VWO6 at its relaxed geometry, from the Alexandria database.

a b c (Å): 5.111 5.303 9.018
angles (deg): 90.00 124.19 90.00
Element x y z (fractional)
Mg  0.235  0.057  0.245
Mg  0.235  0.443  0.745
Mg  0.765  0.557  0.255
Mg  0.765  0.943  0.755
V  0.000  0.000  0.500
V  0.000  0.500  0.000
W  0.500  0.000  0.000
W  0.500  0.500  0.500
O  0.122  0.184  0.939
O  0.122  0.316  0.439
O  0.251  0.691  0.929
O  0.251  0.809  0.429
O  0.382  0.060  0.753
O  0.382  0.440  0.253
O  0.618  0.560  0.747
O  0.618  0.940  0.247
O  0.749  0.191  0.571
O  0.749  0.309  0.071
O  0.878  0.684  0.561
O  0.878  0.816  0.061

* N(E_F): 8.6 states/eV/cell
* raw formation energy: -2249 kJ/mol of formula units
* DFT total energy: -8.168 eV/atom
* magnetization: 5.5 μB/cell
* energy above the lowest structure with this stoichiometry: 23 meV/atom

The following is a PBEsol calculation of crystalline Mg30VZnO32 at its relaxed geometry, from the Alexandria database.

a b c (Å): 8.443 8.443 8.445
angles (deg): 90.00 90.00 90.00
Element x y z (fractional)
Mg  0.000  0.000  0.000
Mg  0.000  0.000  0.500
Mg  0.000  0.250  0.250
Mg  0.000  0.250  0.750
Mg  0.000  0.500  0.000
Mg  0.000  0.500  0.500
Mg  0.000  0.750  0.250
Mg  0.000  0.750  0.750
Mg  0.250  0.000  0.250
Mg  0.250  0.000  0.750
Mg  0.250  0.250  0.000
Mg  0.250  0.250  0.500
Mg  0.250  0.500  0.250
Mg  0.250  0.500  0.750
Mg  0.250  0.750  0.000
Mg  0.250  0.750  0.500
Mg  0.500  0.000  0.000
Mg  0.500  0.000  0.500
Mg  0.500  0.250  0.250
Mg  0.500  0.250  0.750
Mg  0.500  0.750  0.250
Mg  0.500  0.750  0.750
Mg  0.750  0.000  0.250
Mg  0.750  0.000  0.750
Mg  0.750  0.250  0.000
Mg  0.750  0.250  0.500
Mg  0.750  0.500  0.250
Mg  0.750  0.500  0.750
Mg  0.750  0.750  0.000
Mg  0.750  0.750  0.500
V  0.500  0.500  0.000
Zn  0.500  0.500  0.500
O  0.000  0.000  0.250
O  0.000  0.000  0.750
O  0.000  0.250  0.000
O  0.000  0.250  0.500
O  0.000  0.500  0.250
O  0.000  0.500  0.750
O  0.000  0.750  0.000
O  0.000  0.750  0.500
O  0.247  0.500  0.000
O  0.247  0.500  0.500
O  0.250  0.000  0.000
O  0.250  0.000  0.500
O  0.250  0.250  0.250
O  0.250  0.250  0.750
O  0.250  0.750  0.250
O  0.250  0.750  0.750
O  0.500  0.000  0.250
O  0.500  0.000  0.750
O  0.500  0.247  0.000
O  0.500  0.247  0.500
O  0.500  0.500  0.251
O  0.500  0.500  0.749
O  0.500  0.753  0.000
O  0.500  0.753  0.500
O  0.750  0.000  0.000
O  0.750  0.000  0.500
O  0.750  0.250  0.250
O  0.750  0.250  0.750
O  0.750  0.750  0.250
O  0.750  0.750  0.750
O  0.753  0.500  0.000
O  0.753  0.500  0.500

* raw formation energy: -16437 kJ/mol of formula units
* DFT total energy: -6.267 eV/atom
* magnetization: 3.0 μB/cell

The following is a PBEsol calculation of crystalline MgWO4 at its relaxed geometry, from the Alexandria database.

a b c (Å): 4.698 5.685 4.935
angles (deg): 90.00 90.62 90.00
Element x y z (fractional)
Mg  0.000  0.170  0.250
Mg  0.000  0.830  0.750
W  0.500  0.320  0.750
W  0.500  0.680  0.250
O  0.242  0.122  0.600
O  0.242  0.878  0.100
O  0.284  0.393  0.065
O  0.284  0.607  0.565
O  0.716  0.393  0.435
O  0.716  0.607  0.935
O  0.758  0.122  0.900
O  0.758  0.878  0.400

* N(E_F): 0.0 states/eV/cell
* raw formation energy: -1409 kJ/mol of formula units
* DFT total energy: -8.521 eV/atom
* magnetization: 0.0 μB/cell

The following is a PBEsol calculation of crystalline MgWO4 at its relaxed geometry, from the Alexandria database.

a b c (Å): 5.443 5.470 5.529
angles (deg): 90.00 116.54 90.00
Element x y z (fractional)
Mg  0.000  0.132  0.250
Mg  0.000  0.868  0.750
W  0.500  0.351  0.750
W  0.500  0.649  0.250
O  0.221  0.135  0.674
O  0.221  0.865  0.174
O  0.310  0.386  0.349
O  0.310  0.614  0.849
O  0.690  0.386  0.151
O  0.690  0.614  0.651
O  0.779  0.135  0.826
O  0.779  0.865  0.326

* N(E_F): 0.0 states/eV/cell
* raw formation energy: -1384 kJ/mol of formula units
* DFT total energy: -8.478 eV/atom
* magnetization: 0.0 μB/cell

Among the records above, which one has the highest DFT total energy?
Mg30VZnO32

Look up the DFT total energy of the sixth one.
-8.478 eV/atom

Which value of DFT total energy does entry 2 give?
-8.192 eV/atom